A plane-wave DFT calculation with GGA+U was carried out for crystalline VFeP2O8F2 at its relaxed geometry.

Output
E_tot: -6.882 eV/atom

Cell and atoms, written as CIF:
```
data_VFeP2O8F2
_chemical_formula_sum 'V1 Fe1 P2 O8 F2'
_cell_length_a 5.074
_cell_length_b 5.237
_cell_length_c 7.371
_cell_angle_alpha 70.01
_cell_angle_beta 70.70
_cell_angle_gamma 89.23
_space_group_name_H-M_alt 'P -1'
_space_group_IT_number 2
loop_
_space_group_symop_operation_xyz
'x,y,z'
'-x,-y,-z'
loop_
_atom_site_label
_atom_site_type_symbol
_atom_site_fract_x
_atom_site_fract_y
_atom_site_fract_z
V1 V 0.000 0.000 0.000
Fe1 Fe 0.500 0.500 0.500
P1 P 0.374 0.121 0.254
O1 O 0.151 0.154 0.144
O2 O 0.320 0.837 0.418
O3 O 0.330 0.849 0.918
O4 O 0.361 0.356 0.331
F1 F 0.146 0.316 0.759
```